Density functional theory data (SCAN) for a crystal of BaYTa relaxed with PBEsol.

abc: 3.232 3.232 8.648
angles: 100.74 100.74 90.14
Atoms (fractional coordinates):
Ta 0.320 0.320 0.639
Y 0.695 0.695 0.389
Ba 0.986 0.986 0.971

symmetry: Fmm2 (42)
crystal system: orthorhombic
ΔE to the lowest computed polymorph: 0.000 eV/atom
E: -43.937 eV/atom